Record 1
B2TeC2 | PBEsol | optimized geometry

Unit cell a=2.912 b=2.912 c=6.584 alpha=102.77 beta=102.77 gamma=90.00
Fractional coordinates of all 5 atoms:
C 0.183 0.183 0.365
C 0.817 0.817 0.635
Te 0.000 0.000 0.000
B 0.250 0.750 0.500
B 0.750 0.250 0.500

Summary:
Electronic total energy ... -6.826 eV per atom
Crystal system ... tetragonal
E_form (uncorrected) ... 543.6 meV per atom

---

Record 2
ScSbRu4 | PBEsol | optimized geometry

Unit cell a=5.130 b=5.130 c=5.130 alpha=60.00 beta=60.00 gamma=60.00
Fractional coordinates of all 6 atoms:
Ru 0.376 0.376 0.376
Ru 0.376 0.376 0.873
Ru 0.873 0.376 0.376
Ru 0.376 0.873 0.376
Sb 0.750 0.750 0.750
Sc 0.000 0.000 0.000

Summary:
Electronic total energy ... -8.594 eV per atom
Crystal system ... cubic
E_form (uncorrected) ... 48.2 meV per atom

---

Record 3
Zr2CdSe | PBEsol | optimized geometry

Unit cell a=3.925 b=5.060 c=5.151 alpha=119.41 beta=112.40 gamma=90.00
Fractional coordinates of all 4 atoms:
Cd 0.500 0.000 0.000
Se 0.000 0.500 0.000
Zr 0.725 0.725 0.450
Zr 0.275 0.275 0.550

Summary:
Electronic total energy ... -6.279 eV per atom
Polymorph energy (0 for the lowest one) ... 0 meV/atom
Crystal system ... orthorhombic
E_form (uncorrected) ... -472.3 meV per atom

---

Record 4
ErAl2Ni | PBEsol | optimized geometry

Unit cell a=4.013 b=5.338 c=6.814 alpha=90.00 beta=90.00 gamma=112.08
Fractional coordinates of all 8 atoms:
Ni 0.785 0.570 0.250
Ni 0.215 0.430 0.750
Al 0.346 0.692 0.054
Al 0.654 0.308 0.946
Al 0.654 0.308 0.554
Al 0.346 0.692 0.446
Er 0.062 0.125 0.250
Er 0.938 0.875 0.750

Summary:
Electronic total energy ... -5.473 eV per atom
Crystal system ... orthorhombic

---

Record 5
Sr2BeAg | PBEsol | optimized geometry

Unit cell a=4.376 b=4.376 c=8.116 alpha=74.36 beta=74.36 gamma=60.00
Fractional coordinates of all 4 atoms:
Sr 0.251 0.251 0.247
Sr 0.749 0.749 0.753
Ag 0.500 0.500 0.500
Be 0.000 0.000 0.000

Summary:
Electronic total energy ... -2.384 eV per atom
Crystal system ... trigonal

---

Record 6
ScAl4Os | PBEsol | optimized geometry

Unit cell a=5.078 b=5.078 c=5.078 alpha=60.00 beta=60.00 gamma=60.00
Fractional coordinates of all 6 atoms:
Sc 0.000 0.000 0.000
Os 0.750 0.750 0.750
Al 0.375 0.375 0.375
Al 0.375 0.375 0.876
Al 0.876 0.375 0.375
Al 0.375 0.876 0.375

Summary:
Electronic total energy ... -5.930 eV per atom
Crystal system ... cubic

---

Record 7
ZrZnRh2 | PBEsol | optimized geometry

Unit cell a=4.427 b=4.427 c=4.427 alpha=60.00 beta=60.00 gamma=60.00
Fractional coordinates of all 4 atoms:
Rh 0.000 0.000 0.000
Rh 0.750 0.750 0.750
Zn 0.500 0.500 0.500
Zr 0.250 0.250 0.250

Summary:
Electronic total energy ... -7.029 eV per atom
Crystal system ... cubic

---

Record 8
Ba2CaAg | PBEsol | optimized geometry

Unit cell a=4.564 b=5.867 c=5.866 alpha=90.00 beta=90.00 gamma=90.00
Fractional coordinates of all 4 atoms:
Ca 0.500 0.500 0.000
Ba 0.000 0.000 0.000
Ba 0.000 0.500 0.500
Ag 0.500 0.000 0.500

Summary:
Electronic total energy ... -2.373 eV per atom
Polymorph energy (0 for the lowest one) ... 160 meV/atom
Crystal system ... tetragonal

---

Record 9
AlPPb2 | PBEsol | optimized geometry

Unit cell a=3.417 b=3.417 c=8.531 alpha=90.00 beta=90.00 gamma=90.00
Fractional coordinates of all 4 atoms:
Pb 0.000 0.000 0.980
Pb 0.500 0.500 0.278
P 0.500 0.500 0.610
Al 0.000 0.000 0.632

Summary:
Electronic total energy ... -4.426 eV per atom
Polymorph energy (0 for the lowest one) ... 50 meV/atom
Crystal system ... tetragonal

---

Record 10
In2AgTe3I | PBEsol | optimized geometry

Unit cell a=4.432 b=7.602 c=7.794 alpha=99.45 beta=90.00 gamma=106.95
Fractional coordinates of all 7 atoms:
I 0.491 0.982 0.498
Te 0.995 0.991 0.039
Te 0.770 0.539 0.251
Te 0.242 0.484 0.731
Ag 0.687 0.374 0.536
In 0.435 0.870 0.821
In 0.192 0.384 0.062

Summary:
Electronic total energy ... -3.354 eV per atom
Crystal system ... monoclinic
E_form (uncorrected) ... -265.2 meV per atom

---

Record 11
MgBe2Hg | PBEsol | optimized geometry

Unit cell a=3.422 b=4.101 c=4.869 alpha=114.91 beta=110.57 gamma=90.00
Fractional coordinates of all 4 atoms:
Be 0.024 0.024 0.048
Be 0.724 0.224 0.447
Mg 0.261 0.761 0.521
Hg 0.492 0.492 0.983

Summary:
Electronic total energy ... -2.261 eV per atom
Polymorph energy (0 for the lowest one) ... 111 meV/atom
Crystal system ... orthorhombic

---

Record 12
CdInHg2 | PBEsol | optimized geometry

Unit cell a=3.295 b=4.461 c=6.214 alpha=90.00 beta=90.00 gamma=90.00
Fractional coordinates of all 4 atoms:
In 0.000 0.000 0.495
Hg 0.000 0.000 0.990
Hg 0.500 0.500 0.253
Cd 0.500 0.500 0.762

Summary:
Electronic total energy ... -1.330 eV per atom
Crystal system ... orthorhombic